(1)
Entry from Alexandria via LeMat-Bulk: a PBEsol-optimized structure of AgRuN2F (SCAN).

Cell lengths 3.9736, 3.9736, 3.9763 Å; angles 90.00, 90.00, 90.00 degrees
Space group P4/mmm (No. 123)
One atom of each set of equivalent atoms:
Ag: 0.0000 0.0000 0.0000 x1
Ru: 0.5000 0.5000 0.5000 x1
N: 0.0000 0.5000 0.0000 x2
F: 0.0000 0.0000 0.5000 x1

Calculated values
The excess energy over the best structure of this formula in the dataset comes out at 1411.9 meV per atom. The formation energy without anion corrections is 1.704 eV per atom. As for the uncorrected energy: -15.96 eV/atom. The density of states at the Fermi level is 0.574 states/eV per atom. As for the calculated density: 6.77 Mg/m³.

(2)
Entry from Alexandria via LeMat-Bulk: a PBEsol-optimized structure of ScAgNF2 (SCAN).

Cell lengths 3.7613, 3.7613, 6.5331 Å; angles 90.00, 90.00, 90.00 degrees
Space group P4/mmm (No. 123)
One atom of each set of equivalent atoms:
Sc: 0.0000 0.0000 0.0000 x1
Ag: 0.0000 0.0000 0.5000 x1
N: 0.5000 0.5000 0.0000 x1
F: 0.0000 0.5000 0.5000 x2

Calculated values
The formation energy without anion corrections is -0.305 eV per atom. As for the uncorrected energy: -12.70 eV/atom. The density of states at the Fermi level is 0.443 states/eV per atom. As for the calculated density: 3.68 Mg/m³.

(3)
Entry from Alexandria via LeMat-Bulk: a PBEsol-optimized structure of AgSeN2F (SCAN).

Cell lengths 3.9464, 3.9464, 5.4262 Å; angles 90.00, 90.00, 90.00 degrees
Space group P4/mmm (No. 123)
One atom of each set of equivalent atoms:
Ag: 0.0000 0.0000 0.0000 x1
Se: 0.0000 0.0000 0.5000 x1
N: 0.0000 0.5000 0.0000 x2
F: 0.5000 0.5000 0.5000 x1

Calculated values
The formation energy without anion corrections is 1.616 eV per atom. As for the uncorrected energy: -13.10 eV/atom. The density of states at the Fermi level is 0.573 states/eV per atom. As for the calculated density: 4.59 Mg/m³.

(4)
Entry from Alexandria via LeMat-Bulk: a PBEsol-optimized structure of SiAgN2F (SCAN).

Cell lengths 3.9832, 3.9832, 4.1926 Å; angles 90.00, 90.00, 90.00 degrees
Space group P4/mmm (No. 123)
One atom of each set of equivalent atoms:
Si: 0.0000 0.0000 0.0000 x1
Ag: 0.5000 0.5000 0.5000 x1
N: 0.0000 0.5000 0.5000 x2
F: 0.5000 0.5000 0.0000 x1

Calculated values
The formation energy without anion corrections is 1.410 eV per atom. As for the uncorrected energy: -11.29 eV/atom. The density of states at the Fermi level is 0.347 states/eV per atom. As for the calculated density: 4.57 Mg/m³.

(5)
Entry from Alexandria via LeMat-Bulk: a PBEsol-optimized structure of YAgNF2 (SCAN).

Cell lengths 4.1152, 4.1152, 4.2482 Å; angles 90.00, 90.00, 90.00 degrees
Space group P4/mmm (No. 123)
One atom of each set of equivalent atoms:
Y: 0.0000 0.0000 0.0000 x1
Ag: 0.5000 0.5000 0.5000 x1
N: 0.5000 0.5000 0.0000 x1
F: 0.0000 0.5000 0.5000 x2

Calculated values
The formation energy without anion corrections is -1.024 eV per atom. As for the uncorrected energy: -16.14 eV/atom. The density of states at the Fermi level is 0.263 states/eV per atom. As for the calculated density: 5.74 Mg/m³.

(6)
Entry from Alexandria via LeMat-Bulk: a PBEsol-optimized structure of ZnAgN2F (SCAN).

Cell lengths 3.8542, 3.8542, 4.0788 Å; angles 90.00, 90.00, 90.00 degrees
Space group P4/mmm (No. 123)
One atom of each set of equivalent atoms:
Zn: 0.0000 0.0000 0.0000 x1
Ag: 0.5000 0.5000 0.5000 x1
N: 0.0000 0.5000 0.0000 x2
F: 0.0000 0.0000 0.5000 x1

Calculated values
The formation energy without anion corrections is 0.726 eV per atom. As for the uncorrected energy: -12.67 eV/atom. The density of states at the Fermi level is 0.290 states/eV per atom. As for the calculated density: 6.04 Mg/m³.

(7)
Entry from Alexandria via LeMat-Bulk: a PBEsol-optimized structure of ZrAgN2F (SCAN).

Cell lengths 4.1813, 4.1813, 4.1017 Å; angles 90.00, 90.00, 90.00 degrees
Space group P4/mmm (No. 123)
One atom of each set of equivalent atoms:
Zr: 0.0000 0.0000 0.0000 x1
Ag: 0.5000 0.5000 0.5000 x1
N: 0.0000 0.5000 0.0000 x2
F: 0.0000 0.0000 0.5000 x1

Calculated values
The formation energy without anion corrections is -0.578 eV per atom. As for the uncorrected energy: -17.42 eV/atom. The density of states at the Fermi level is 0.333 states/eV per atom. As for the calculated density: 5.70 Mg/m³.

(8)
Entry from Alexandria via LeMat-Bulk: a PBEsol-optimized structure of ZrAgNF2 (SCAN).

Cell lengths 4.0893, 4.0893, 4.1505 Å; angles 90.00, 90.00, 90.00 degrees
Space group P4/mmm (No. 123)
One atom of each set of equivalent atoms:
Zr: 0.0000 0.0000 0.0000 x1
Ag: 0.5000 0.5000 0.5000 x1
N: 0.5000 0.5000 0.0000 x1
F: 0.0000 0.5000 0.5000 x2

Calculated values
The formation energy without anion corrections is -0.333 eV per atom. As for the uncorrected energy: -16.02 eV/atom. The density of states at the Fermi level is 0.481 states/eV per atom. As for the calculated density: 6.01 Mg/m³.

(9)
Entry from Alexandria via LeMat-Bulk: a PBEsol-optimized structure of Na2AgF4 (SCAN).

Cell lengths 3.3256, 10.3506, 6.1340 Å; angles 90.00, 114.74, 90.00 degrees
Space group P2_1/c (No. 14)
One atom of each set of equivalent atoms:
Na: 0.2487 0.1498 0.4646 x4
Ag: 0.5000 0.0000 0.0000 x2
F: 0.0649 0.5611 0.7942 x4
F: 0.4686 0.6710 0.3159 x4

Calculated values
The formation energy without anion corrections is -2.238 eV per atom. As for the uncorrected energy: -9.95 eV/atom. As for the calculated density: 3.98 Mg/m³.

(10)
Entry from Alexandria via LeMat-Bulk: a PBEsol-optimized structure of NaAgTe2F (SCAN).

Cell lengths 5.2806, 5.2806, 5.0433 Å; angles 90.00, 90.00, 90.00 degrees
Space group P4/mmm (No. 123)
One atom of each set of equivalent atoms:
Na: 0.0000 0.0000 0.0000 x1
Ag: 0.0000 0.0000 0.5000 x1
Te: 0.0000 0.5000 0.0000 x2
F: 0.5000 0.5000 0.5000 x1

Calculated values
The formation energy without anion corrections is 0.457 eV per atom. As for the uncorrected energy: -22.27 eV/atom. The density of states at the Fermi level is 0.836 states/eV per atom. As for the calculated density: 4.78 Mg/m³.

(11)
Entry from Alexandria via LeMat-Bulk: a PBEsol-optimized structure of Nb2AgOsF (SCAN).

Cell lengths 4.8954, 4.8954, 4.7499 Å; angles 90.00, 90.00, 90.00 degrees
Space group P4/mmm (No. 123)
One atom of each set of equivalent atoms:
Nb: 0.0000 0.5000 0.0000 x2
Ag: 0.0000 0.0000 0.0000 x1
Os: 0.0000 0.0000 0.5000 x1
F: 0.5000 0.5000 0.5000 x1

Calculated values
The formation energy without anion corrections is 2.144 eV per atom. As for the uncorrected energy: -32.47 eV/atom. The density of states at the Fermi level is 1.227 states/eV per atom. As for the calculated density: 7.34 Mg/m³.

(12)
Entry from Alexandria via LeMat-Bulk: a PBEsol-optimized structure of Nb2AgPbF (SCAN).

Cell lengths 4.2032, 4.2032, 5.1605 Å; angles 90.00, 90.00, 90.00 degrees
Space group P4/mmm (No. 123)
One atom of each set of equivalent atoms:
Nb: 0.0000 0.5000 0.0000 x2
Ag: 0.0000 0.0000 0.5000 x1
Pb: 0.5000 0.5000 0.5000 x1
F: 0.5000 0.5000 0.0000 x1

Calculated values
The formation energy without anion corrections is 0.072 eV per atom. As for the uncorrected energy: -35.32 eV/atom. The density of states at the Fermi level is 0.583 states/eV per atom. As for the calculated density: 9.47 Mg/m³.

(13)
Entry from Alexandria via LeMat-Bulk: a PBEsol-optimized structure of Rb2NdAgF6 (SCAN).

Cell lengths 9.2547, 9.2547, 9.2547 Å; angles 90.00, 90.00, 90.00 degrees
Space group Fm-3m (No. 225)
One atom of each set of equivalent atoms:
Rb: 0.2500 0.2500 0.2500 x8
Nd: 0.0000 0.0000 0.0000 x4
Ag: 0.0000 0.0000 0.5000 x4
F: 0.0000 0.0000 0.2425 x24

Calculated values
The formation energy without anion corrections is -3.047 eV per atom. As for the uncorrected energy: -16.81 eV/atom. The density of states at the Fermi level is 0.000 states/eV per atom. As for the calculated density: 4.50 Mg/m³.

(14)
Entry from Alexandria via LeMat-Bulk: a PBEsol-optimized structure of NiAg2F (SCAN).

Cell lengths 5.9868, 5.9868, 5.9868 Å; angles 90.00, 90.00, 90.00 degrees
Space group Fm-3m (No. 225)
One atom of each set of equivalent atoms:
Ni: 0.0000 0.0000 0.0000 x4
Ag: 0.2500 0.2500 0.2500 x8
F: 0.0000 0.0000 0.5000 x4

Calculated values
The formation energy without anion corrections is -0.039 eV per atom. As for the uncorrected energy: -20.65 eV/atom. The density of states at the Fermi level is 1.179 states/eV per atom. As for the calculated density: 9.08 Mg/m³.